1.
Material: PuHfS2
Method: DFT, GGA-PBE
State: relaxed

Unit cell a=6.5309 b=6.5309 c=6.5309 alpha=33.60 beta=33.60 gamma=33.60
Closest atoms and distances in Å follow each position.
Atoms (fractional coordinates):
Pu1 0.0000 0.0000 0.0000  6 S 2.74
Hf1 0.5000 0.5000 0.5000  6 S 2.60
S1 0.2439 0.2439 0.2439  3 Hf 2.60, 3 Pu 2.74
S2 0.7561 0.7561 0.7561  3 Hf 2.60, 3 Pu 2.74

2.
Material: PuHfS
Method: DFT, GGA-PBE
State: relaxed

Unit cell a=10.4635 b=10.4635 c=10.4635 alpha=21.92 beta=21.92 gamma=21.92
Closest atoms and distances in Å follow each position.
Atoms (fractional coordinates):
Pu1 0.1731 0.1731 0.1731  3 Pu 2.33
Pu2 0.8269 0.8269 0.8269  3 Pu 2.33
Hf1 0.4248 0.4248 0.4248  3 S 2.54
Hf2 0.5752 0.5752 0.5752  3 S 2.54
S1 0.2776 0.2776 0.2776  3 Hf 2.54
S2 0.7224 0.7224 0.7224  3 Hf 2.54

3.
Material: PuHfS2
Method: DFT, GGA-PBE
State: relaxed

Unit cell a=6.9304 b=6.9304 c=6.9304 alpha=30.94 beta=30.94 gamma=30.94
Closest atoms and distances in Å follow each position.
Atoms (fractional coordinates):
Pu1 0.0000 0.0000 0.0000  6 S 2.71-2.89
Hf1 0.1780 0.1780 0.1780  6 S 2.55-2.65
S1 0.5821 0.5821 0.5821  3 Hf 2.55, 3 Pu 2.71
S2 0.7653 0.7653 0.7653  3 Hf 2.65, 3 Pu 2.89

4.
Material: Pu3HfS4
Method: DFT, GGA-PBE
State: relaxed

Unit cell a=6.6625 b=7.7512 c=6.6747 alpha=90.00 beta=109.65 gamma=90.00
Closest atoms and distances in Å follow each position.
Atoms (fractional coordinates):
Pu1 0.0000 0.1202 0.2500  6 S 2.71-2.81
Pu2 0.0000 0.3734 0.7500  6 S 2.73-2.81
Pu3 0.0000 0.6266 0.2500  6 S 2.73-2.81
Pu4 0.0000 0.8798 0.7500  6 S 2.71-2.81
Pu5 0.5000 0.3734 0.2500  6 S 2.72-2.73
Pu6 0.5000 0.6266 0.7500  6 S 2.72-2.73
Hf1 0.5000 0.1246 0.7500  6 S 2.64-2.66
Hf2 0.5000 0.8754 0.2500  6 S 2.64-2.66
S1 0.2585 0.3694 0.5080  1 Hf 2.66, 5 Pu 2.72-2.81
S2 0.2585 0.6306 0.0080  1 Hf 2.66, 5 Pu 2.72-2.81
S3 0.2660 0.1168 0.0008  2 Hf 2.64, 4 Pu 2.71-2.81
S4 0.2660 0.8832 0.5008  2 Hf 2.64, 4 Pu 2.71-2.81
S5 0.7340 0.1168 0.4992  2 Hf 2.64, 4 Pu 2.71-2.81
S6 0.7340 0.8832 0.9992  2 Hf 2.64, 4 Pu 2.71-2.81
S7 0.7415 0.3694 0.9920  1 Hf 2.66, 5 Pu 2.72-2.81
S8 0.7415 0.6306 0.4920  1 Hf 2.66, 5 Pu 2.72-2.81

5.
Material: Pu6HfS8
Method: DFT, GGA-PBE
State: relaxed

Unit cell a=7.8571 b=7.8571 c=7.8571 alpha=60.00 beta=60.00 gamma=60.00
Closest atoms and distances in Å follow each position.
Atoms (fractional coordinates):
Pu1 0.0000 0.0000 0.5000  6 S 2.78
Pu2 0.0000 0.5000 0.0000  6 S 2.78
Pu3 0.0000 0.5000 0.5000  6 S 2.78
Pu4 0.5000 0.0000 0.0000  6 S 2.78
Pu5 0.5000 0.0000 0.5000  6 S 2.78
Pu6 0.5000 0.5000 0.0000  6 S 2.78
Hf1 0.0000 0.0000 0.0000  6 S 2.64
S1 0.2372 0.2372 0.7628  1 Hf 2.64, 4 Pu 2.78
S2 0.2372 0.7628 0.2372  1 Hf 2.64, 4 Pu 2.78
S3 0.2372 0.7628 0.7628  1 Hf 2.64, 4 Pu 2.78
S4 0.2500 0.2500 0.2500  6 Pu 2.78
S5 0.7500 0.7500 0.7500  6 Pu 2.78
S6 0.7628 0.2372 0.2372  1 Hf 2.64, 4 Pu 2.78
S7 0.7628 0.2372 0.7628  1 Hf 2.64, 4 Pu 2.78
S8 0.7628 0.7628 0.2372  1 Hf 2.64, 4 Pu 2.78

6.
Material: Pu3HfSc3S8
Method: DFT, GGA-PBE
State: relaxed

Unit cell a=7.5625 b=7.5625 c=7.6331 alpha=119.76 beta=119.76 gamma=59.91
Closest atoms and distances in Å follow each position.
Atoms (fractional coordinates):
Pu1 0.0000 0.0000 0.0000  6 S 2.76
Pu2 0.0000 0.5000 0.0000  6 S 2.76-2.77
Pu3 0.5000 0.0000 0.0000  6 S 2.76-2.77
Hf1 0.0000 0.0000 0.5000  6 S 2.63
Sc1 0.0000 0.5000 0.5000  6 S 2.61-2.62
Sc2 0.5000 0.0000 0.5000  6 S 2.61-2.62
Sc3 0.5000 0.5000 0.5000  6 S 2.61
S1 0.2443 0.2443 0.7315  2 Sc 2.62, 1 Hf 2.63, 2 Pu 2.76
S2 0.2440 0.7415 0.7304  2 Sc 2.61, 1 Hf 2.63, 2 Pu 2.76-2.77
S3 0.2566 0.2566 0.2693  3 Sc 2.61-2.62, 3 Pu 2.76
S4 0.2585 0.7560 0.2696  2 Sc 2.61, 1 Hf 2.63, 2 Pu 2.76-2.77
S5 0.7415 0.2440 0.7304  2 Sc 2.61, 1 Hf 2.63, 2 Pu 2.76-2.77
S6 0.7434 0.7434 0.7307  3 Sc 2.61-2.62, 3 Pu 2.76
S7 0.7560 0.2585 0.2696  2 Sc 2.61, 1 Hf 2.63, 2 Pu 2.76-2.77
S8 0.7557 0.7557 0.2685  2 Sc 2.62, 1 Hf 2.63, 2 Pu 2.76

7.
Material: Pu2HfScS4
Method: DFT, GGA-PBE
State: relaxed

Unit cell a=6.5597 b=3.7712 c=6.6183 alpha=90.00 beta=109.11 gamma=90.00
Closest atoms and distances in Å follow each position.
Atoms (fractional coordinates):
Pu1 0.0000 0.0000 0.0000  6 S 2.75-2.76
Pu2 0.5000 0.5000 0.0000  6 S 2.76
Hf1 0.0000 0.5000 0.5000  6 S 2.61
Sc1 0.5000 0.0000 0.5000  6 S 2.62
S1 0.2425 0.0000 0.7307  2 Hf 2.61, 1 Sc 2.62, 3 Pu 2.75-2.76
S2 0.2557 0.5000 0.2695  1 Hf 2.61, 2 Sc 2.62, 3 Pu 2.76
S3 0.7443 0.5000 0.7305  1 Hf 2.61, 2 Sc 2.62, 3 Pu 2.76
S4 0.7575 0.0000 0.2693  2 Hf 2.61, 1 Sc 2.62, 3 Pu 2.75-2.76

8.
Material: TbPu2HfS4
Method: DFT, GGA-PBE
State: relaxed

Unit cell a=6.5915 b=3.8555 c=6.7797 alpha=90.00 beta=109.49 gamma=90.00
Closest atoms and distances in Å follow each position.
Atoms (fractional coordinates):
Tb1 0.0000 0.0000 0.0000  6 S 2.73
Pu1 0.5000 0.0000 0.5000  6 S 2.73
Pu2 0.5000 0.5000 0.0000  6 S 2.81-2.82
Hf1 0.0000 0.5000 0.5000  6 S 2.64-2.65
S1 0.2351 0.0000 0.7359  2 Hf 2.65, 1 Tb 2.73, 3 Pu 2.73-2.81
S2 0.2416 0.5000 0.2581  1 Hf 2.64, 3 Pu 2.73-2.82, 2 Tb 2.73
S3 0.7584 0.5000 0.7419  1 Hf 2.64, 3 Pu 2.73-2.82, 2 Tb 2.73
S4 0.7649 0.0000 0.2641  2 Hf 2.65, 1 Tb 2.73, 3 Pu 2.73-2.81

For reference, energy relative to the elements, uncorrected by record: -6.18; -1.55; -5.95; -13.10; -25.68; -26.84; -13.51; -13.59 eV per formula unit.